Version a
Entry from Alexandria via LeMat-Bulk: a geometry-optimized Er4Tm5Th2 structure (GGA-PBE).

* space group: Immm (71)
* density of states at the Fermi level: 18.76 states/eV per cell

POSCAR file:
```
Er4Tm5Th2
1.0
-1.731 3.763 13.902
1.731 -3.763 13.902
1.731 3.763 -13.902
Er Tm Th
4 5 2
direct
0.104 0.104 0.000 Er
0.181 0.500 0.681 Er
0.819 0.500 0.319 Er
0.896 0.896 0.000 Er
0.046 0.304 0.743 Tm
0.439 0.696 0.743 Tm
0.500 0.000 0.500 Tm
0.561 0.304 0.257 Tm
0.954 0.696 0.257 Tm
0.398 0.398 0.000 Th
0.602 0.602 0.000 Th
```

Version b
Entry from Alexandria via LeMat-Bulk: a geometry-optimized Er4Tm5Th2 structure (GGA-PBE).

* space group: P-1 (2)
* density of states at the Fermi level: 16.64 states/eV per cell

POSCAR file:
```
Er4Tm5Th2
1.0
3.499 0.000 0.000
0.052 8.738 0.000
0.105 0.195 11.093
Er Tm Th
4 5 2
direct
0.213 0.084 0.238 Er
0.249 0.267 0.703 Er
0.751 0.733 0.297 Er
0.787 0.916 0.762 Er
0.232 0.642 0.586 Tm
0.255 0.820 0.021 Tm
0.500 0.000 0.500 Tm
0.745 0.180 0.979 Tm
0.768 0.358 0.414 Tm
0.250 0.455 0.138 Th
0.750 0.545 0.862 Th
```

The structure with the most favorable energy is version b; the runner-up is 377 meV per atom above it.